Entry 1:
Entry from the Alexandria database: LaSbPt3 at its PBEsol-relaxed geometry (meta-GGA SCAN). Values from VASP.

Summary:
- E_form (uncorrected): -399.3 meV per atom
- Spin magnetization: 0.0 μB/cell
- Space group: Pm-3m (221)
- Density of states at the Fermi level: 0.860 states/eV per cell
- DFT total energy: -58.588 eV/atom

Geometry as Quantum ESPRESSO input:
```
&SYSTEM
  ibrav = 0, nat = 5, ntyp = 3
/
ATOMIC_SPECIES
La 138.91 La.upf
Pt 195.08 Pt.upf
Sb 121.76 Sb.upf
ATOMIC_POSITIONS angstrom
La 2.462 2.462 2.462
Pt 0.000 2.462 0.000
Pt 2.462 0.000 0.000
Pt 0.000 0.000 2.462
Sb 0.000 0.000 0.000
CELL_PARAMETERS angstrom
4.924 0.000 0.000
0.000 4.924 0.000
0.000 0.000 4.924
```

---

Entry 2:
Entry from the Alexandria database: LaSb3Pt at its PBEsol-relaxed geometry (meta-GGA SCAN). Values from VASP.

Summary:
- E_form (uncorrected): -308.5 meV per atom
- Spin magnetization: 0.0 μB/cell
- Space group: Pm-3m (221)
- Density of states at the Fermi level: 3.835 states/eV per cell
- DFT total energy: -45.324 eV/atom

Geometry as Quantum ESPRESSO input:
```
&SYSTEM
  ibrav = 0, nat = 5, ntyp = 3
/
ATOMIC_SPECIES
Pt 195.08 Pt.upf
La 138.91 La.upf
Sb 121.76 Sb.upf
ATOMIC_POSITIONS angstrom
Pt 0.000 0.000 0.000
La 2.612 2.612 2.612
Sb 0.000 2.612 0.000
Sb 2.612 0.000 0.000
Sb 0.000 0.000 2.612
CELL_PARAMETERS angstrom
5.225 0.000 0.000
0.000 5.225 0.000
0.000 0.000 5.225
```

---

Entry 3:
Entry from the Alexandria database: La4SbPt at its PBEsol-relaxed geometry (meta-GGA SCAN). Values from VASP.

Summary:
- E_form (uncorrected): -11.2 meV per atom
- Spin magnetization: 0.0 μB/cell
- Space group: F-43m (216)
- Density of states at the Fermi level: 5.978 states/eV per cell
- DFT total energy: -46.657 eV/atom

Geometry as Quantum ESPRESSO input:
```
&SYSTEM
  ibrav = 0, nat = 6, ntyp = 3
/
ATOMIC_SPECIES
Pt 195.08 Pt.upf
La 138.91 La.upf
Sb 121.76 Sb.upf
ATOMIC_POSITIONS angstrom
Pt -10.765 2.509 2.497
La -5.370 1.252 1.246
La -8.051 0.122 2.334
Sb 0.000 0.000 0.000
La -7.219 3.043 2.983
La -8.068 2.275 0.096
CELL_PARAMETERS angstrom
-5.358 2.032 -2.283
-5.324 -2.244 2.162
-3.672 3.558 3.451
```

---

Entry 4:
Entry from the Alexandria database: LaSbPt2 at its PBEsol-relaxed geometry (meta-GGA SCAN). Values from VASP.

Summary:
- E_form (uncorrected): -682.5 meV per atom
- Spin magnetization: 0.0 μB/cell
- Space group: P2/m (10)
- Density of states at the Fermi level: 2.309 states/eV per cell
- DFT total energy: -55.871 eV/atom

Geometry as Quantum ESPRESSO input:
```
&SYSTEM
  ibrav = 0, nat = 4, ntyp = 3
/
ATOMIC_SPECIES
Sb 121.76 Sb.upf
Pt 195.08 Pt.upf
La 138.91 La.upf
ATOMIC_POSITIONS angstrom
Sb 1.859 1.859 0.054
Pt -0.033 0.000 1.410
La 1.781 1.859 3.139
Pt 3.595 0.000 4.869
CELL_PARAMETERS angstrom
3.718 0.000 0.108
0.000 3.719 0.000
-0.157 0.000 6.170
```

---

Entry 5:
Entry from the Alexandria database: LaSbPt2 at its PBEsol-relaxed geometry (meta-GGA SCAN). Values from VASP.

Summary:
- E_form (uncorrected): -833.0 meV per atom
- Spin magnetization: 0.0 μB/cell
- Space group: P4mm (99)
- Density of states at the Fermi level: 1.991 states/eV per cell
- DFT total energy: -56.021 eV/atom

Geometry as Quantum ESPRESSO input:
```
&SYSTEM
  ibrav = 0, nat = 4, ntyp = 3
/
ATOMIC_SPECIES
Pt 195.08 Pt.upf
Sb 121.76 Sb.upf
La 138.91 La.upf
ATOMIC_POSITIONS angstrom
Pt 1.746 4.513 3.128
Pt 1.407 -0.190 3.048
Sb 0.733 1.895 1.314
La 2.276 2.057 4.605
CELL_PARAMETERS angstrom
-1.669 -1.544 3.159
3.312 -1.863 0.839
1.808 4.673 3.239
```

---

Entry 6:
Entry from the Alexandria database: LaSb2Pt at its PBEsol-relaxed geometry (meta-GGA SCAN). Values from VASP.

Summary:
- E_form (uncorrected): -670.2 meV per atom
- Spin magnetization: 0.0 μB/cell
- Space group: P4/mmm (123)
- Density of states at the Fermi level: 2.183 states/eV per cell
- DFT total energy: -47.625 eV/atom

Geometry as Quantum ESPRESSO input:
```
&SYSTEM
  ibrav = 0, nat = 4, ntyp = 3
/
ATOMIC_SPECIES
Sb 121.76 Sb.upf
La 138.91 La.upf
Pt 195.08 Pt.upf
ATOMIC_POSITIONS angstrom
Sb 0.494 -1.481 1.724
La 1.802 0.883 3.380
Sb 2.104 0.965 0.226
Pt -0.795 1.399 1.429
CELL_PARAMETERS angstrom
-1.591 2.798 2.858
0.987 -2.961 3.448
4.208 1.930 0.453
```

---

Entry 7:
Entry from the Alexandria database: LaSbPt at its PBEsol-relaxed geometry (meta-GGA SCAN). Values from VASP.

Summary:
- E_form (uncorrected): -845.8 meV per atom
- Spin magnetization: 0.0 μB/cell
- Space group: I4mm (107)
- Density of states at the Fermi level: 1.913 states/eV per cell
- DFT total energy: -51.032 eV/atom

Geometry as Quantum ESPRESSO input:
```
&SYSTEM
  ibrav = 0, nat = 3, ntyp = 3
/
ATOMIC_SPECIES
Pt 195.08 Pt.upf
Sb 121.76 Sb.upf
La 138.91 La.upf
ATOMIC_POSITIONS angstrom
Pt 0.000 0.000 3.579
Sb 1.772 1.772 2.204
La 1.772 1.772 5.426
CELL_PARAMETERS angstrom
3.544 0.000 0.000
0.000 3.544 0.000
-1.772 -1.772 5.604
```

---

Entry 8:
Entry from the Alexandria database: La2ScPt2 at its PBEsol-relaxed geometry (meta-GGA SCAN). Values from VASP.

Summary:
- Spin magnetization: 0.0 μB/cell
- Space group: P4/mbm (127)
- DFT formation energy: -1.135 eV per atom
- Density of states at the Fermi level: 9.575 states/eV per cell
- DFT total energy: -49.301 eV/atom

Geometry as Quantum ESPRESSO input:
```
&SYSTEM
  ibrav = 0, nat = 10, ntyp = 3
/
ATOMIC_SPECIES
Pt 195.08 Pt.upf
La 138.91 La.upf
Sc 44.96 Sc.upf
ATOMIC_POSITIONS angstrom
Pt 0.000 1.050 2.742
Pt 0.000 4.842 1.050
Pt 0.000 6.534 4.842
La 2.071 6.308 2.516
La 2.071 5.068 6.308
Sc 0.000 3.792 3.792
Sc 0.000 0.000 0.000
La 2.071 2.516 1.276
Pt 0.000 2.742 6.534
La 2.071 1.276 5.068
CELL_PARAMETERS angstrom
4.142 0.000 0.000
0.000 7.584 0.000
0.000 0.000 7.584
```